1.
A plane-wave DFT calculation with PBE-GGA was carried out for a relaxed structure of ThMg2Sc4.

Unit cell a=16.718 b=16.718 c=3.278 alpha=90.00 beta=90.00 gamma=168.62
Element x y z (fractional)
Th (0.000, 0.000, 0.000)
Mg (0.290, 0.710, 0.500)
Mg (0.710, 0.290, 0.500)
Sc (0.144, 0.856, 0.000)
Sc (0.425, 0.575, 0.500)
Sc (0.575, 0.425, 0.500)
Sc (0.856, 0.144, 0.000)

excess energy over the best structure of this formula in the dataset = 0 meV/atom
Fermi-level density of states = 8.185 states/eV per cell
electronic total energy = -5.086 eV per atom
V = 181 Å³ per cell
ΔH_f (0 K) = 0.047 eV per atom

***

2.
A plane-wave DFT calculation with PBE-GGA was carried out for a relaxed structure of CsRb2NaGa.

Unit cell a=7.985 b=7.985 c=6.934 alpha=90.00 beta=90.00 gamma=90.00
Element x y z (fractional)
Cs (0.000, 0.000, 0.000)
Rb (0.000, 0.500, 0.000)
Rb (0.500, 0.000, 0.000)
Na (0.000, 0.000, 0.500)
Ga (0.500, 0.500, 0.500)

excess energy over the best structure of this formula in the dataset = 543 meV/atom
Fermi-level density of states = 6.051 states/eV per cell
electronic total energy = -0.770 eV per atom
V = 442 Å³ per cell
ΔH_f (0 K) = 0.657 eV per atom

***

3.
A plane-wave DFT calculation with PBE-GGA was carried out for a relaxed structure of AcZrZnN3.

Unit cell a=7.281 b=3.447 c=7.590 alpha=90.00 beta=104.79 gamma=90.00
Element x y z (fractional)
Ac (0.204, 0.250, 0.231)
Ac (0.796, 0.750, 0.769)
Zr (0.338, 0.750, 0.857)
Zr (0.662, 0.250, 0.143)
Zn (0.106, 0.250, 0.601)
Zn (0.894, 0.750, 0.399)
N (0.140, 0.250, 0.873)
N (0.205, 0.750, 0.512)
N (0.446, 0.750, 0.146)
N (0.554, 0.250, 0.854)
N (0.795, 0.250, 0.488)
N (0.860, 0.750, 0.127)

ΔE_f (raw) = -0.91 eV per atom
electronic total energy = -7.399 eV per atom
V = 184 Å³ per cell